Material: Li4Ag3Pb2
Method: DFT, GGA-PBE
State: relaxed

a = 4.7178 Å, b = 4.7205 Å, c = 8.6238 Å
α = 89.89°, β = 90.00°, γ = 60.01°
Fractional positions:
1 Pb 0.3326 0.3349 0.7701
2 Pb 0.6674 0.6651 0.2299
3 Li 0.9989 0.0021 0.6629
4 Li 0.0011 0.9979 0.3371
5 Li 0.3338 0.3325 0.1042
6 Li 0.6662 0.6675 0.8958
7 Ag 0.6661 0.6678 0.5730
8 Ag 0.0000 0.0000 0.0000
9 Ag 0.3339 0.3322 0.4270

Total energy, eV per atom: -2.85
ΔH_f (0 K), eV per formula unit: -2.0

Material: LiAg3Pb
Method: DFT, GGA-PBE
State: relaxed

a = 4.3336 Å, b = 4.3314 Å, c = 10.6184 Å
α = 90.00°, β = 78.23°, γ = 90.00°
Fractional positions:
1 Pb 0.4730 0.7500 0.7023
2 Pb 0.1753 0.2500 0.2977
3 Ag 0.5743 0.2500 0.4997
4 Ag 0.3717 0.2500 0.9049
5 Ag 0.0740 0.7500 0.5003
6 Ag 0.7777 0.2500 0.0929
7 Ag 0.2766 0.7500 0.0951
8 Ag 0.8706 0.7500 0.9071
9 Li 0.9713 0.2500 0.7058
10 Li 0.6771 0.7500 0.2942

Total energy, eV per atom: -2.90
ΔH_f (0 K), eV per formula unit: -0.3

The spin magnetization results, record by record, are as follows: 0.0 0.0 μB/f.u..